# 1
Entry from Alexandria: an optimized crystal structure of MgTa2As (GGA-PBE).

Cell lengths 5.2045, 5.2045, 5.2045 Å; angles 134.78, 134.78, 65.87 degrees
Positions (direct):
1 As 0.5000 0.5000 0.0000
2 Mg 0.7500 0.2500 0.5000
3 Ta 0.2500 0.7500 0.5000
4 Ta 0.0000 0.0000 0.0000

Properties
Relative energy among the computed polymorphs: 0.194 eV per atom
E: -29.3 eV for the cell shown
Formation enthalpy at 0 K: 0.67 eV per formula unit


# 2
Entry from Alexandria: an optimized crystal structure of MgTaAsW2 (GGA-PBE).

Cell lengths 4.7637, 5.1982, 4.7637 Å; angles 90.00, 90.00, 90.00 degrees
Each line ends with the local moment (μB).
Positions (direct):
1 W 0.0000 0.0000 0.5000  0.12
2 W 0.5000 0.0000 0.0000  0.17
3 Mg 0.0000 0.5000 0.0000  0.00
4 Ta 0.0000 0.0000 0.0000  -0.03
5 As 0.5000 0.5000 0.5000  -0.01

Properties
E: -34.2 eV for the cell shown
Formation enthalpy at 0 K: 9.84 eV per formula unit


# 3
Entry from Alexandria: an optimized crystal structure of MgTc2As (GGA-PBE).

Cell lengths 8.4940, 8.4940, 8.4940 Å; angles 20.15, 20.15, 20.15 degrees
Positions (direct):
1 Mg 0.7500 0.7500 0.7500
2 As 0.2500 0.2500 0.2500
3 Tc 0.5090 0.5090 0.5090
4 Tc 0.9910 0.9910 0.9910

Properties
Relative energy among the computed polymorphs: 0.184 eV per atom
E: -26.4 eV for the cell shown
Formation enthalpy at 0 K: 0.62 eV per formula unit